LiTb2H6Ru: relaxed, PBE-GGA.

a b c (Å): 4.9663 4.8684 4.8684
angles (deg): 120.00 90.00 90.00
Sites, in units of the cell vectors:
Li (0.5000, 0.0000, 0.0000)
Tb (0.2402, 0.3333, 0.6667)
Tb (0.7598, 0.6667, 0.3333)
H (0.7739, 0.1665, 0.3330)
H (0.7739, 0.1665, 0.8335)
H (0.7739, 0.6670, 0.8335)
H (0.2261, 0.8335, 0.1665)
H (0.2261, 0.3330, 0.1665)
H (0.2261, 0.8335, 0.6670)
Ru (0.0000, 0.0000, 0.0000)

Output
Symmetry ... P-3m1
Electronic total energy ... -4.447 eV per atom